A plane-wave DFT calculation with GGA+U was carried out for a geometry-optimized InMoBrO4 structure.

POSCAR file:
```
InMoBrO4
1.0
-0.7150 4.8967 3.3639
-5.7418 1.5787 -0.5869
-5.3865 -1.5098 8.1216
O In Mo Br
8 2 2 2
direct
0.5641 0.5641 0.3068
0.8678 0.4664 0.7560
0.1322 0.5336 0.2440
0.2191 0.2191 0.5397
0.5336 0.1322 0.2440
0.4664 0.8678 0.7560
0.4359 0.4359 0.6932
0.7809 0.7809 0.4603
0.8228 0.8228 0.2210
0.1772 0.1772 0.7790
0.3642 0.3642 0.3331
0.6358 0.6358 0.6669
0.8505 0.8505 0.9356
0.1495 0.1495 0.0644
```

Summary:
symmetry = C2/m, No. 12
DOS at the Fermi energy = 0.000 states/eV/atom
E_tot = -82.76 eV per cell